(1)
This record from Alexandria via LeMat-Bulk describes crystalline GeMo2F2 at its relaxed geometry. The functional is PBE with a Hubbard U.

CIF file:
```
data_GeMo2F2
_space_group_name_H-M_alt 'P 4/m b m'
_space_group_IT_number 127
_space_group_name_Hall '-P 4 2ab'
_cell_length_a 7.849
_cell_length_b 7.849
_cell_length_c 3.260
_cell_angle_alpha 90.00
_cell_angle_beta 90.00
_cell_angle_gamma 90.00
loop_
_atom_site_label
_atom_site_type_symbol
_atom_site_fract_x
_atom_site_fract_y
_atom_site_fract_z
Ge1 Ge 0.000 0.000 0.000
Mo1 Mo 0.236 0.264 0.000
F1 F 0.113 0.387 0.500
```

---

(2)
This record from Alexandria via LeMat-Bulk describes crystalline Ge3MoF at its relaxed geometry. The functional is PBE with a Hubbard U.

CIF file:
```
data_Ge3MoF
_space_group_name_H-M_alt 'P m -3 m'
_space_group_IT_number 221
_space_group_name_Hall '-P 4 2 3'
_cell_length_a 4.555
_cell_length_b 4.555
_cell_length_c 4.555
_cell_angle_alpha 90.00
_cell_angle_beta 90.00
_cell_angle_gamma 90.00
loop_
_atom_site_label
_atom_site_type_symbol
_atom_site_fract_x
_atom_site_fract_y
_atom_site_fract_z
Ge1 Ge 0.000 0.000 0.500
Mo1 Mo 0.500 0.500 0.500
F1 F 0.000 0.000 0.000
```

---

(3)
This record from Alexandria via LeMat-Bulk describes crystalline GeMo2F at its relaxed geometry. The functional is PBE with a Hubbard U.

CIF file:
```
data_GeMo2F
_space_group_name_H-M_alt 'F m -3 m'
_space_group_IT_number 225
_space_group_name_Hall '-F 4 2 3'
_cell_length_a 6.502
_cell_length_b 6.502
_cell_length_c 6.502
_cell_angle_alpha 90.00
_cell_angle_beta 90.00
_cell_angle_gamma 90.00
loop_
_atom_site_label
_atom_site_type_symbol
_atom_site_fract_x
_atom_site_fract_y
_atom_site_fract_z
Ge1 Ge 0.000 0.000 0.000
Mo1 Mo 0.250 0.250 0.250
F1 F 0.000 0.000 0.500
```

---

(4)
This record from Alexandria via LeMat-Bulk describes crystalline GeMoF3 at its relaxed geometry. The functional is PBE with a Hubbard U.

CIF file:
```
data_GeMoF3
_space_group_name_H-M_alt 'P m -3 m'
_space_group_IT_number 221
_space_group_name_Hall '-P 4 2 3'
_cell_length_a 4.411
_cell_length_b 4.411
_cell_length_c 4.411
_cell_angle_alpha 90.00
_cell_angle_beta 90.00
_cell_angle_gamma 90.00
loop_
_atom_site_label
_atom_site_type_symbol
_atom_site_fract_x
_atom_site_fract_y
_atom_site_fract_z
Ge1 Ge 0.000 0.000 0.000
Mo1 Mo 0.500 0.500 0.500
F1 F 0.000 0.000 0.500
```

---

(5)
This record from Alexandria via LeMat-Bulk describes crystalline GeMoNF2 at its relaxed geometry. The functional is PBE with a Hubbard U.

CIF file:
```
data_GeMoNF2
_space_group_name_H-M_alt 'P 4/m m m'
_space_group_IT_number 123
_space_group_name_Hall '-P 4 2'
_cell_length_a 4.217
_cell_length_b 4.217
_cell_length_c 4.132
_cell_angle_alpha 90.00
_cell_angle_beta 90.00
_cell_angle_gamma 90.00
loop_
_atom_site_label
_atom_site_type_symbol
_atom_site_fract_x
_atom_site_fract_y
_atom_site_fract_z
Ge1 Ge 0.000 0.000 0.000
Mo1 Mo 0.500 0.500 0.500
N1 N 0.500 0.500 0.000
F1 F 0.000 0.500 0.500
```

---

(6)
This record from Alexandria via LeMat-Bulk describes crystalline GeMoN2F at its relaxed geometry. The functional is PBE with a Hubbard U.

CIF file:
```
data_GeMoN2F
_space_group_name_H-M_alt 'P 4/m m m'
_space_group_IT_number 123
_space_group_name_Hall '-P 4 2'
_cell_length_a 3.880
_cell_length_b 3.880
_cell_length_c 3.775
_cell_angle_alpha 90.00
_cell_angle_beta 90.00
_cell_angle_gamma 90.00
loop_
_atom_site_label
_atom_site_type_symbol
_atom_site_fract_x
_atom_site_fract_y
_atom_site_fract_z
Ge1 Ge 0.000 0.000 0.000
Mo1 Mo 0.500 0.500 0.500
N1 N 0.000 0.500 0.000
F1 F 0.000 0.000 0.500
```

---

(7)
This record from Alexandria via LeMat-Bulk describes crystalline GeMoN2F at its relaxed geometry. The functional is PBE with a Hubbard U.

CIF file:
```
data_GeMoN2F
_space_group_name_H-M_alt 'P 4/m m m'
_space_group_IT_number 123
_space_group_name_Hall '-P 4 2'
_cell_length_a 4.045
_cell_length_b 4.045
_cell_length_c 4.112
_cell_angle_alpha 90.00
_cell_angle_beta 90.00
_cell_angle_gamma 90.00
loop_
_atom_site_label
_atom_site_type_symbol
_atom_site_fract_x
_atom_site_fract_y
_atom_site_fract_z
Ge1 Ge 0.000 0.000 0.000
Mo1 Mo 0.500 0.500 0.500
N1 N 0.000 0.500 0.500
F1 F 0.500 0.500 0.000
```

---

(8)
This record from Alexandria via LeMat-Bulk describes crystalline GeMoNF2 at its relaxed geometry. The functional is PBE with a Hubbard U.

CIF file:
```
data_GeMoNF2
_space_group_name_H-M_alt 'P 4/m m m'
_space_group_IT_number 123
_space_group_name_Hall '-P 4 2'
_cell_length_a 4.116
_cell_length_b 4.116
_cell_length_c 4.054
_cell_angle_alpha 90.00
_cell_angle_beta 90.00
_cell_angle_gamma 90.00
loop_
_atom_site_label
_atom_site_type_symbol
_atom_site_fract_x
_atom_site_fract_y
_atom_site_fract_z
Ge1 Ge 0.000 0.000 0.000
Mo1 Mo 0.500 0.500 0.500
N1 N 0.000 0.000 0.500
F1 F 0.000 0.500 0.000
```

---

| no. | electronic total energy (eV/atom) |
| --- | --- |
| 1 | -4.8312 |
| 2 | -4.3245 |
| 3 | -4.9669 |
| 4 | -4.7214 |
| 5 | -5.3962 |
| 6 | -5.7378 |
| 7 | -5.9336 |
| 8 | -5.1626 |